Entry 1:
CdHg2Pd6 after structural relaxation, computed with GGA-PBE.

The calculation puts the spin magnetization at 0.000 μB per atom. Its formation energy is -0.168 eV per atom.

Cell lengths 4.773, 4.526, 8.424 Å; angles 95.47, 90.00, 121.82 degrees
Sites, in units of the cell vectors:
Hg: 0.658 0.317 0.268
Pd: 0.007 0.014 0.836
Cd: 0.000 0.000 0.500
Pd: 0.328 0.657 0.392
Pd: 0.328 0.657 0.057
Pd: 0.993 0.986 0.164
Pd: 0.672 0.343 0.608
Pd: 0.672 0.343 0.943
Hg: 0.342 0.683 0.732



Entry 2:
CdHg2Pd9 after structural relaxation, computed with GGA-PBE.

The calculation puts the spin magnetization at 0.000 μB per atom. Its formation energy is -0.140 eV per atom.

Cell lengths 4.040, 4.040, 12.163 Å; angles 90.00, 90.00, 90.00 degrees
Sites, in units of the cell vectors:
Hg: 0.000 0.000 0.667
Pd: 0.000 0.500 0.835
Hg: 0.000 0.000 0.333
Pd: 0.500 0.500 0.668
Pd: 0.000 0.500 0.500
Pd: 0.500 0.000 0.165
Pd: 0.500 0.500 0.332
Pd: 0.500 0.500 0.000
Pd: 0.500 0.000 0.835
Pd: 0.000 0.500 0.165
Pd: 0.500 0.000 0.500
Cd: 0.000 0.000 0.000